# 1
Density functional theory data (PBE-GGA) for a relaxed structure of Fe2Ni4Pd5.

The calculation puts the energy of formation at 0.0112 eV per atom. As for the density of states at the Fermi level: 9.32 states/eV/f.u. Its space group is Pbam, No. 55.

abc: 4.7782 14.2813 4.3036
angles: 90.00 90.00 90.00
Positions (direct):
Fe  0.1474  0.2031  0.0000
Fe  0.3526  0.7031  0.0000
Fe  0.6474  0.2969  0.0000
Fe  0.8526  0.7969  0.0000
Ni  0.1776  0.3736  0.0000
Ni  0.2266  0.0389  0.0000
Ni  0.2734  0.5389  0.0000
Ni  0.3224  0.8736  0.0000
Ni  0.6776  0.1264  0.0000
Ni  0.7266  0.4611  0.0000
Ni  0.7734  0.9611  0.0000
Ni  0.8224  0.6264  0.0000
Pd  0.0000  0.5000  0.5000
Pd  0.0158  0.9009  0.5000
Pd  0.0233  0.7010  0.5000
Pd  0.4767  0.2010  0.5000
Pd  0.4842  0.4009  0.5000
Pd  0.5000  0.0000  0.5000
Pd  0.5158  0.5991  0.5000
Pd  0.5233  0.7990  0.5000
Pd  0.9767  0.2990  0.5000
Pd  0.9842  0.0991  0.5000

---

# 2
Density functional theory data (PBE-GGA) for a relaxed structure of Fe2Ni3Pd8.

The calculation puts the energy of formation at 0.1785 eV per atom. As for the density of states at the Fermi level: 14.42 states/eV/f.u. The energy above the most stable polymorph in this dataset is 38 meV per atom. Its space group is P2/m, No. 10.

abc: 7.6976 3.7307 7.8948
angles: 90.00 117.03 90.00
Positions (direct):
Fe  0.2475  0.0000  0.2769
Fe  0.7525  0.0000  0.7231
Ni  0.2764  0.5000  0.7849
Ni  0.5000  0.0000  0.0000
Ni  0.7236  0.5000  0.2151
Pd  0.1036  0.5000  0.3965
Pd  0.1140  0.0000  0.8945
Pd  0.3588  0.5000  0.1420
Pd  0.3793  0.0000  0.6256
Pd  0.6207  0.0000  0.3744
Pd  0.6412  0.5000  0.8580
Pd  0.8860  0.0000  0.1055
Pd  0.8964  0.5000  0.6035

---

# 3
Density functional theory data (PBE-GGA) for a relaxed structure of FeNi2Pd6.

The calculation puts the energy of formation at -0.0630 eV per atom. As for the density of states at the Fermi level: 8.01 states/eV/f.u. The energy above the most stable polymorph in this dataset is 0 meV per atom. Its space group is C2/m, No. 12.

abc: 5.9109 5.9109 8.0751
angles: 130.59 130.59 38.62
Positions (direct):
Fe  0.0000  0.0000  0.0000
Ni  0.3344  0.3344  0.6688
Ni  0.6656  0.6656  0.3312
Pd  0.0099  0.0099  0.3338
Pd  0.3238  0.3238  0.3335
Pd  0.3423  0.3423  0.0001
Pd  0.6577  0.6577  0.9999
Pd  0.6762  0.6762  0.6665
Pd  0.9901  0.9901  0.6662

---

# 4
Density functional theory data (PBE-GGA) for a relaxed structure of FeNi6Pd12.

The calculation puts the energy of formation at 0.0550 eV per atom. As for the density of states at the Fermi level: 27.98 states/eV/f.u. Its space group is R-3, No. 148.

abc: 6.4756 6.4756 6.4756
angles: 88.42 88.42 88.42
Positions (direct):
Fe  0.0000  0.0000  0.0000
Ni  0.1082  0.2572  0.7336
Ni  0.2572  0.7336  0.1082
Ni  0.2664  0.8918  0.7428
Ni  0.7336  0.1082  0.2572
Ni  0.7428  0.2664  0.8918
Ni  0.8918  0.7428  0.2664
Pd  0.0228  0.3697  0.1567
Pd  0.1567  0.0228  0.3697
Pd  0.1969  0.5672  0.4688
Pd  0.3697  0.1567  0.0228
Pd  0.4328  0.5312  0.8031
Pd  0.4688  0.1969  0.5672
Pd  0.5312  0.8031  0.4328
Pd  0.5672  0.4688  0.1969
Pd  0.6303  0.8433  0.9772
Pd  0.8031  0.4328  0.5312
Pd  0.8433  0.9772  0.6303
Pd  0.9772  0.6303  0.8433

---

# 5
Density functional theory data (PBE-GGA) for a relaxed structure of Fe4NiPd3.

The calculation puts the energy of formation at 0.0128 eV per atom. As for the density of states at the Fermi level: 7.20 states/eV/f.u. Its space group is C2/m, No. 12.

abc: 17.4447 2.7623 4.4535
angles: 90.00 94.52 90.00
Positions (direct):
Fe  0.1200  0.0000  0.1814
Fe  0.2410  0.5000  0.2432
Fe  0.2590  0.0000  0.7568
Fe  0.3800  0.5000  0.8186
Fe  0.6200  0.5000  0.1814
Fe  0.7410  0.0000  0.2432
Fe  0.7590  0.5000  0.7568
Fe  0.8800  0.0000  0.8186
Ni  0.0000  0.5000  0.0000
Ni  0.5000  0.0000  0.0000
Pd  0.0000  0.0000  0.5000
Pd  0.1339  0.5000  0.6921
Pd  0.3661  0.0000  0.3079
Pd  0.5000  0.5000  0.5000
Pd  0.6339  0.0000  0.6921
Pd  0.8661  0.5000  0.3079

---

# 6
Density functional theory data (PBE-GGA) for a relaxed structure of Fe5Ni4Pd2.

The calculation puts the energy of formation at 0.1194 eV per atom. As for the density of states at the Fermi level: 6.54 states/eV/f.u. Its space group is C2/m, No. 12.

abc: 5.1312 5.1312 7.2471
angles: 116.92 116.92 60.80
Positions (direct):
Fe  0.0000  0.0000  0.0000
Fe  0.1018  0.5462  0.3292
Fe  0.4538  0.8982  0.6708
Fe  0.5462  0.1018  0.3292
Fe  0.8982  0.4538  0.6708
Ni  0.0680  0.0680  0.3608
Ni  0.2585  0.2585  0.9740
Ni  0.7415  0.7415  0.0260
Ni  0.9320  0.9320  0.6392
Pd  0.4273  0.4273  0.7189
Pd  0.5727  0.5727  0.2811

---

# 7
Density functional theory data (PBE-GGA) for a relaxed structure of Fe4Ni5Pd2.

The calculation puts the energy of formation at 0.0132 eV per atom. As for the density of states at the Fermi level: 9.47 states/eV/f.u. Its space group is C2/m, No. 12.

abc: 7.2765 7.2765 4.6268
angles: 94.90 94.90 33.69
Positions (direct):
Fe  0.0412  0.0412  0.2778
Fe  0.3081  0.3081  0.9152
Fe  0.6919  0.6919  0.0848
Fe  0.9588  0.9588  0.7222
Ni  0.1322  0.1322  0.8668
Ni  0.2134  0.2134  0.3842
Ni  0.5000  0.5000  0.0000
Ni  0.7866  0.7866  0.6158
Ni  0.8678  0.8678  0.1332
Pd  0.4001  0.4001  0.4532
Pd  0.5999  0.5999  0.5468

---

# 8
Density functional theory data (PBE-GGA) for a relaxed structure of Fe2NiPd2.

The calculation puts the energy of formation at 0.2424 eV per atom. As for the density of states at the Fermi level: 4.79 states/eV/f.u. The energy above the most stable polymorph in this dataset is 32 meV per atom. Its space group is P4/mbm, No. 127.

abc: 7.2090 7.2090 2.7387
angles: 90.00 90.00 90.00
Positions (direct):
Fe  0.1167  0.3833  0.0000
Fe  0.3833  0.8833  0.0000
Fe  0.6167  0.1167  0.0000
Fe  0.8833  0.6167  0.0000
Ni  0.0000  0.0000  0.0000
Ni  0.5000  0.5000  0.0000
Pd  0.1797  0.6797  0.5000
Pd  0.3203  0.1797  0.5000
Pd  0.6797  0.8203  0.5000
Pd  0.8203  0.3203  0.5000